DFT (PBE) results for a geometry-optimized NdGdTmTh structure.

Output
Its mass density is 8.9 g/cm3. Its total energy is -30.2 eV per cell. The formation enthalpy at 0 K is 0.14 eV per atom. The symmetry is No. 216.

Structure (extended XYZ):
```
4
Lattice="5.696 0.000 0.000 2.848 4.933 0.000 2.848 1.644 4.650" Properties=species:S:1:pos:R:3 pbc="T T T"
Tm 5.696 3.288 2.325
Gd 0.000 0.000 0.000
Th 8.543 4.933 3.488
Nd 2.848 1.644 1.163
```